*one*
First-principles (PBE-GGA) data for a relaxed structure of SrMo2Rh, as listed in Alexandria via LeMat-Bulk. Values from VASP.

The structure in Quantum ESPRESSO input format:
```
&SYSTEM
  ibrav = 0, nat = 4, ntyp = 3
/
ATOMIC_SPECIES
Sr 87.62 Sr.upf
Mo 95.94 Mo.upf
Rh 102.91 Rh.upf
CELL_PARAMETERS angstrom
5.727 0.004 0.000
3.076 4.831 0.000
-4.401 -2.418 2.753
ATOMIC_POSITIONS crystal
Sr 0.750 0.250 0.500
Mo 0.000 0.000 0.000
Mo 0.500 0.500 0.000
Rh 0.250 0.750 0.500
```

*two*
First-principles (PBE-GGA) data for a relaxed structure of SrMo2Rh, as listed in Alexandria via LeMat-Bulk. Values from VASP.

The structure in Quantum ESPRESSO input format:
```
&SYSTEM
  ibrav = 0, nat = 4, ntyp = 3
/
ATOMIC_SPECIES
Rh 102.91 Rh.upf
Sr 87.62 Sr.upf
Mo 95.94 Mo.upf
CELL_PARAMETERS angstrom
3.198 0.000 0.000
0.000 4.485 0.006
0.000 4.473 5.230
ATOMIC_POSITIONS crystal
Rh 0.500 0.500 0.500
Sr 0.000 0.000 0.500
Mo 0.000 0.000 0.000
Mo 0.500 0.500 0.000
```

*three*
First-principles (PBE-GGA) data for a relaxed structure of SrMo2Rh, as listed in Alexandria via LeMat-Bulk. Values from VASP.

The structure in Quantum ESPRESSO input format:
```
&SYSTEM
  ibrav = 0, nat = 4, ntyp = 3
/
ATOMIC_SPECIES
Mo 95.94 Mo.upf
Rh 102.91 Rh.upf
Sr 87.62 Sr.upf
CELL_PARAMETERS angstrom
-2.446 5.432 -1.909
-5.486 0.693 -2.927
3.634 -1.580 4.841
ATOMIC_POSITIONS crystal
Mo 0.542 0.542 0.000
Mo 0.958 0.958 0.000
Rh 0.750 0.250 0.500
Sr 0.250 0.750 0.500
```

*four*
First-principles (PBE-GGA) data for a relaxed structure of SrMo2Rh, as listed in Alexandria via LeMat-Bulk. Values from VASP.

The structure in Quantum ESPRESSO input format:
```
&SYSTEM
  ibrav = 0, nat = 4, ntyp = 3
/
ATOMIC_SPECIES
Sr 87.62 Sr.upf
Mo 95.94 Mo.upf
Rh 102.91 Rh.upf
CELL_PARAMETERS angstrom
4.957 -0.010 0.005
3.979 2.955 0.005
1.488 0.491 5.881
ATOMIC_POSITIONS crystal
Sr 0.242 0.242 0.268
Mo 0.039 0.039 0.893
Mo 0.746 0.746 0.758
Rh 0.474 0.474 0.581
```

Most stable: *four* (next structure +50 meV per atom)